[1]
Entry from Alexandria via LeMat-Bulk: a geometry-optimized Nd3SnRh3 structure (PBE-GGA).

```
data_Nd3SnRh3
_chemical_formula_sum 'Nd6 Sn2 Rh6'
_space_group_name_H-M_alt 'P 1'
_space_group_IT_number 1
_cell_length_a 4.7379
_cell_length_b 9.0095
_cell_length_c 9.0095
_cell_angle_alpha 120.00
_cell_angle_beta 90.00
_cell_angle_gamma 90.00
loop_
_space_group_symop_operation_xyz
'x,y,z'
loop_
_atom_site_label
_atom_site_fract_x
_atom_site_fract_y
_atom_site_fract_z
Rh1 0.7500 0.1557 0.1918
Rh2 0.2500 0.1918 0.0360
Rh3 0.2500 0.9640 0.1557
Rh4 0.2500 0.8443 0.8082
Rh5 0.7500 0.8082 0.9640
Rh6 0.7500 0.0360 0.8443
Nd1 0.7500 0.4028 0.0787
Nd2 0.2500 0.3241 0.4028
Nd3 0.2500 0.5972 0.9213
Nd4 0.2500 0.0787 0.6759
Nd5 0.7500 0.6759 0.5972
Nd6 0.7500 0.9213 0.3241
Sn1 0.2500 0.6667 0.3333
Sn2 0.7500 0.3333 0.6667
```

* crystal system: hexagonal
* energy relative to the elements: -0.555 eV/atom
* calculated volume: 23.79 Å³/atom
* offset from the most stable computed form: 182 meV/atom
* SG: P6_3/m (176)
* DOS at the Fermi energy: 9.4 states/eV/cell

=====

[2]
Entry from Alexandria via LeMat-Bulk: a geometry-optimized Nd2Sn6Rh structure (PBE-GGA).

```
data_Nd2Sn6Rh
_chemical_formula_sum 'Nd2 Sn6 Rh1'
_space_group_name_H-M_alt 'P 1'
_space_group_IT_number 1
_cell_length_a 4.0827
_cell_length_b 7.2080
_cell_length_c 9.1647
_cell_angle_alpha 113.16
_cell_angle_beta 90.02
_cell_angle_gamma 90.00
loop_
_space_group_symop_operation_xyz
'x,y,z'
loop_
_atom_site_label
_atom_site_fract_x
_atom_site_fract_y
_atom_site_fract_z
Sn1 0.5000 0.2647 0.0000
Sn2 0.0001 0.9421 0.2810
Sn3 0.0001 0.3389 0.2810
Sn4 0.5000 0.7353 0.0000
Sn5 0.9999 0.6611 0.7190
Sn6 0.9999 0.0579 0.7190
Nd1 0.5002 0.7126 0.4252
Nd2 0.4998 0.2874 0.5748
Rh1 0.0000 0.0000 0.0000
```

* crystal system: orthorhombic
* energy relative to the elements: -0.396 eV/atom
* calculated volume: 27.55 Å³/atom
* SG: Cmmm (65)
* DOS at the Fermi energy: 6.2 states/eV/cell

=====

[3]
Entry from Alexandria via LeMat-Bulk: a geometry-optimized NdSnRh4 structure (PBE-GGA).

```
data_NdSnRh4
_chemical_formula_sum 'Nd1 Sn1 Rh4'
_space_group_name_H-M_alt 'P 1'
_space_group_IT_number 1
_cell_length_a 5.3408
_cell_length_b 5.3408
_cell_length_c 5.3408
_cell_angle_alpha 60.00
_cell_angle_beta 60.00
_cell_angle_gamma 60.00
loop_
_space_group_symop_operation_xyz
'x,y,z'
loop_
_atom_site_label
_atom_site_fract_x
_atom_site_fract_y
_atom_site_fract_z
Rh1 0.1217 0.6261 0.6261
Rh2 0.6261 0.1217 0.6261
Rh3 0.6261 0.6261 0.1217
Rh4 0.6261 0.6261 0.6261
Sn1 0.0000 0.0000 0.0000
Nd1 0.2500 0.2500 0.2500
```

* crystal system: cubic
* energy relative to the elements: -0.446 eV/atom
* calculated volume: 17.95 Å³/atom
* offset from the most stable computed form: 0 meV/atom
* SG: F-43m (216)
* DOS at the Fermi energy: 5.2 states/eV/cell

=====

[4]
Entry from Alexandria via LeMat-Bulk: a geometry-optimized NdSn3Rh structure (PBE-GGA).

```
data_NdSn3Rh
_chemical_formula_sum 'Nd2 Sn6 Rh2'
_space_group_name_H-M_alt 'P 1'
_space_group_IT_number 1
_cell_length_a 4.5084
_cell_length_b 7.1138
_cell_length_c 7.8576
_cell_angle_alpha 90.00
_cell_angle_beta 90.00
_cell_angle_gamma 90.00
loop_
_space_group_symop_operation_xyz
'x,y,z'
loop_
_atom_site_label
_atom_site_fract_x
_atom_site_fract_y
_atom_site_fract_z
Rh1 0.2500 0.2500 0.5974
Rh2 0.7500 0.7500 0.4026
Nd1 0.7500 0.2500 0.2396
Nd2 0.2500 0.7500 0.7604
Sn1 0.2500 0.2500 0.9341
Sn2 0.2500 0.5360 0.3494
Sn3 0.7500 0.7500 0.0659
Sn4 0.7500 0.4640 0.6506
Sn5 0.7500 0.0360 0.6506
Sn6 0.2500 0.9640 0.3494
```

* crystal system: orthorhombic
* energy relative to the elements: -0.510 eV/atom
* calculated volume: 25.20 Å³/atom
* SG: Pmmn (59)
* DOS at the Fermi energy: 5.2 states/eV/cell

=====

no.,spin magnetization (Bohr magnetons per cell)
1,0.00
2,0.00
3,0.00
4,0.00